The following is a DFT calculation (PBE with a Hubbard U) of a relaxed Pm2FeTcO8 crystal.

The structure in POSCAR format:
```
Pm2FeTcO8
1.0
5.4284 0.0000 0.0000
1.9016 5.3840 0.0000
1.3488 1.1088 5.9175
Pm Fe Tc O
2 1 1 8
direct
0.0800 0.1519 0.2112
0.9200 0.8481 0.7888
0.5000 0.5000 0.5000
0.5000 0.5000 0.0000
0.2425 0.8160 0.4792
0.2612 0.8325 0.9872
0.2726 0.4178 0.8515
0.3201 0.3959 0.2896
0.6799 0.6041 0.7104
0.7274 0.5822 0.1485
0.7388 0.1675 0.0128
0.7575 0.1840 0.5208
```

Calculated values
**Total energy**: -7.60 eV/atom
**Crystal system**: triclinic
**Space-group type**: P-1, No. 2